(1)
{
  "formula": "ReBrO",
  "functional": "PBE",
  "state": "relaxed",
  "crystal_system": "trigonal",
  "e_form_raw_mev_per_atom": -318,
  "density_g_cm3": 5.310,
  "cell": [[7.641, 0.000, 0.000], [-3.820, 6.617, 0.000], [0.000, 0.000, 5.235]],
  "species": ["Re", "Re", "Re", "Br", "Br", "Br", "O", "O", "O"],
  "frac_coords": [[0.152, 0.085, 0.000], [0.915, 0.068, 0.667], [0.932, 0.848, 0.333], [0.418, 0.380, 0.206], [0.620, 0.038, 0.873], [0.962, 0.582, 0.539], [0.129, 0.840, 0.059], [0.160, 0.289, 0.725], [0.711, 0.871, 0.392]]
}

---

(2)
{
  "formula": "Re2Br8O",
  "functional": "PBE",
  "state": "relaxed",
  "crystal_system": "monoclinic",
  "e_form_raw_mev_per_atom": -416,
  "density_g_cm3": 4.512,
  "cell": [[4.408, -6.127, 0.000], [4.408, 6.127, 0.000], [-0.735, 0.000, 7.001]],
  "species": ["Re", "Re", "Br", "Br", "Br", "Br", "Br", "Br", "Br", "Br", "O"],
  "frac_coords": [[0.087, 0.087, 0.249], [0.913, 0.913, 0.751], [0.122, 0.722, 0.732], [0.181, 0.181, 0.616], [0.278, 0.878, 0.268], [0.354, 0.354, 0.183], [0.646, 0.646, 0.817], [0.722, 0.122, 0.732], [0.819, 0.819, 0.384], [0.878, 0.278, 0.268], [0.000, 0.000, 0.000]]
}